[1]
Density functional theory data (PBE) for crystalline Nd2SmY2Mg at its relaxed geometry.

a b c (Å): 10.476 11.991 3.624
angles (deg): 90.00 90.00 90.00
Positions (direct):
Nd 0.089 0.226 0.000
Nd 0.411 0.726 0.500
Nd 0.589 0.274 0.500
Nd 0.911 0.774 0.000
Sm 0.000 0.000 0.500
Sm 0.500 0.500 0.000
Y 0.244 0.434 0.500
Y 0.256 0.934 0.000
Y 0.744 0.066 0.000
Y 0.756 0.566 0.500
Mg 0.000 0.500 0.000
Mg 0.500 0.000 0.500

Properties
- formation energy from the elements (eV per atom) = 0.442
- DOS at the Fermi energy (states/eV/atom) = 1.547
- total magnetization (μB/cell) = 0.00
- calculated volume (Å³/f.u.) = 227.60

[2]
Density functional theory data (PBE) for crystalline NdSm2YMg at its relaxed geometry.

a b c (Å): 6.019 7.529 7.216
angles (deg): 90.00 90.00 90.00
Positions (direct):
Nd 0.250 0.000 0.166
Nd 0.750 0.000 0.834
Sm 0.250 0.216 0.693
Sm 0.250 0.784 0.693
Sm 0.750 0.216 0.307
Sm 0.750 0.784 0.307
Y 0.250 0.500 0.375
Y 0.750 0.500 0.625
Mg 0.000 0.500 0.000
Mg 0.500 0.500 0.000

Properties
- formation energy from the elements (eV per atom) = 0.165
- DOS at the Fermi energy (states/eV/atom) = 1.654
- total magnetization (μB/cell) = 0.00
- calculated volume (Å³/f.u.) = 163.49